! TaCr3Ag2S8 PBE-GGA relaxed; values from VASP
&SYSTEM
  ibrav = 0, nat = 28, ntyp = 4
/
ATOMIC_SPECIES
S 32.06 S.upf
Ag 107.87 Ag.upf
Ta 180.95 Ta.upf
Cr 52.00 Cr.upf
ATOMIC_POSITIONS angstrom
S 1.7365 0.3243 12.4050
S 1.7365 10.2897 3.9090
S 1.7365 1.3182 9.2509
S 1.7365 2.1847 5.0721
S 0.0000 9.8707 10.1432
S 1.7365 7.7725 8.0179
S 0.0000 5.1370 6.3333
S 0.0000 1.0118 2.1362
S 0.0000 10.7248 6.7567
S 0.0000 4.2829 2.9468
S 1.7365 5.9121 0.6850
S 1.7365 6.9060 3.8391
S 0.0000 3.3402 11.8374
S 1.7365 4.7019 9.1810
S 0.0000 6.5996 10.9538
S 0.0000 8.9280 1.2526
Ag 0.0000 8.5184 5.1513
Ag 0.0000 2.9305 7.9387
Ag 1.7365 8.3372 12.3305
Ag 1.7365 2.7494 0.7595
Ta 1.7365 4.5496 4.6930
Ta 1.7365 10.1374 8.3970
Cr 0.0000 0.9723 10.9550
Cr 0.0000 6.1983 8.6405
Cr 0.0000 6.5601 2.1350
Cr 1.7365 10.5893 1.5756
Cr 1.7365 5.0014 11.5144
Cr 0.0000 0.6105 4.4495
CELL_PARAMETERS angstrom
3.4729 0.0000 0.0000
0.0000 11.1756 0.0000
0.0000 0.0000 13.0900
! Formation energy (no corrections) ... -0.530 eV/atom
! Volume ... 18.1 A^3/atom
! Spin magnetization ... 8.76 μB/f.u.
! Final energy ... -6.20 eV/atom
! Polymorph energy (0 for the lowest one) ... 110 meV/atom

=====

! Tb3CrAg3S8 PBE-GGA relaxed; values from VASP
&SYSTEM
  ibrav = 0, nat = 15, ntyp = 4
/
ATOMIC_SPECIES
Ag 107.87 Ag.upf
S 32.06 S.upf
Cr 52.00 Cr.upf
Tb 158.93 Tb.upf
ATOMIC_POSITIONS angstrom
Ag 0.0000 0.0000 0.0000
Ag 1.2245 -2.4303 -2.8241
Ag -2.0407 -0.3164 -3.3342
S -2.4092 -3.2282 2.0443
S -3.3939 -2.3316 -4.5982
S -3.5060 -1.0516 4.5743
S -5.7590 -1.2865 1.3622
S -7.1122 1.2829 4.0110
S -1.1409 -2.0968 -1.3860
S 0.2123 -4.6662 -4.0348
S -4.4907 -0.1551 -2.0681
Cr -1.4093 -1.3752 3.3222
Tb -3.4500 -1.6916 -0.0119
Tb -4.6745 0.7386 2.8121
Tb -0.1848 -3.8055 0.4982
CELL_PARAMETERS angstrom
-6.5304 4.2277 -1.0202
2.4491 -4.8606 -5.6481
-2.8186 -2.7504 6.6445
! Formation energy (no corrections) ... -1.080 eV/atom
! Volume ... 22.1 A^3/atom
! Spin magnetization ... 2.58 μB/f.u.
! Final energy ... -5.42 eV/atom

=====

! CrTc2AgS PBE-GGA relaxed; values from VASP
&SYSTEM
  ibrav = 0, nat = 5, ntyp = 4
/
ATOMIC_SPECIES
Tc 98.00 Tc.upf
Ag 107.87 Ag.upf
S 32.06 S.upf
Cr 52.00 Cr.upf
ATOMIC_POSITIONS angstrom
Tc 0.0000 0.0000 2.5608
Tc 2.5608 0.0000 0.0000
Ag 0.0000 0.0000 0.0000
S 0.0000 2.3267 0.0000
Cr 2.5608 2.3267 2.5608
CELL_PARAMETERS angstrom
5.1216 0.0000 0.0000
0.0000 4.6534 0.0000
0.0000 0.0000 5.1216
! Formation energy (no corrections) ... 2.235 eV/atom
! Volume ... 24.4 A^3/atom
! Spin magnetization ... 12.06 μB/f.u.
! Final energy ... -5.23 eV/atom

=====

! TiCr2Ag2S6 PBE-GGA relaxed; values from VASP
&SYSTEM
  ibrav = 0, nat = 11, ntyp = 4
/
ATOMIC_SPECIES
Cr 52.00 Cr.upf
Ag 107.87 Ag.upf
S 32.06 S.upf
Ti 47.87 Ti.upf
ATOMIC_POSITIONS angstrom
Cr 0.4105 3.4907 2.0541
Cr -1.5108 2.1126 3.1349
Ag 0.3165 -1.5656 2.9461
Ag 3.0078 0.3648 1.4322
S -0.5216 3.8881 4.0308
S -0.7396 5.2152 1.0292
S -0.3608 0.3881 4.1598
S -0.5788 1.7151 1.1582
S 2.2852 2.2860 2.6713
S -3.3856 3.3172 2.5177
Ti -2.2123 3.4021 0.4053
CELL_PARAMETERS angstrom
-2.0166 -3.2392 4.2585
5.3409 2.0384 0.1198
-4.4247 6.8042 0.8107
! Formation energy (no corrections) ... -0.625 eV/atom
! Volume ... 18.8 A^3/atom
! Spin magnetization ... 0.00 μB/f.u.
! Final energy ... -5.86 eV/atom

=====

! UCr2Ag3S6 PBE-GGA relaxed; values from VASP
&SYSTEM
  ibrav = 0, nat = 12, ntyp = 4
/
ATOMIC_SPECIES
Cr 52.00 Cr.upf
S 32.06 S.upf
U 238.03 U.upf
Ag 107.87 Ag.upf
ATOMIC_POSITIONS angstrom
Cr 3.0554 1.6647 0.9311
Cr -0.0851 3.4784 0.9311
S -1.1507 4.8622 2.5865
S 1.3867 2.4011 7.3204
S -1.7312 3.8570 7.2267
S 1.6686 2.8891 2.4927
S 4.7865 1.4332 2.5865
S 4.2060 0.4281 7.2267
U 0.0000 0.0000 0.0000
Ag 1.5277 2.6451 4.9066
Ag -1.1700 4.2031 4.9066
Ag 4.2253 1.0872 4.9066
CELL_PARAMETERS angstrom
6.1742 -0.1366 0.9311
-3.2039 5.2796 0.9311
0.0850 0.1472 7.9509
! Formation energy (no corrections) ... -0.597 eV/atom
! Volume ... 21.2 A^3/atom
! Spin magnetization ... 7.71 μB/f.u.
! Final energy ... -5.92 eV/atom

=====

! U3CrAg3S8 PBE-GGA relaxed; values from VASP
&SYSTEM
  ibrav = 0, nat = 15, ntyp = 4
/
ATOMIC_SPECIES
Ag 107.87 Ag.upf
S 32.06 S.upf
U 238.03 U.upf
Cr 52.00 Cr.upf
ATOMIC_POSITIONS angstrom
Ag 0.0000 0.0000 0.0000
Ag 1.9509 3.3786 -0.0154
Ag -1.9509 3.3786 -0.0154
S 3.9019 0.0136 4.6758
S 0.0000 -0.1189 4.5672
S 0.0000 2.2529 1.5953
S 5.9676 -1.1918 1.7198
S 1.8361 -1.1918 1.7198
S -2.0657 3.4583 4.5513
S 2.0657 3.4583 4.5513
S 3.9019 2.3854 1.7039
U -1.9509 1.1332 3.1355
U 3.9019 -2.2453 3.1510
U 1.9509 1.1332 3.1355
Cr 0.0000 -2.2453 3.1510
CELL_PARAMETERS angstrom
7.8038 0.0000 0.0000
-3.9019 6.7572 -0.0308
0.0000 -4.4907 6.3019
! Formation energy (no corrections) ... -0.810 eV/atom
! Volume ... 22.1 A^3/atom
! Spin magnetization ... 11.00 μB/f.u.
! Final energy ... -6.48 eV/atom